Entry from Alexandria via LeMat-Bulk: an optimized crystal structure of AlMo2Au (PBE).

Cell and atoms, written as POSCAR:
```
AlMo2Au
1.0
4.8548 -0.0053 0.0066
4.0724 2.6430 0.0066
0.5148 0.1521 5.0186
Au Mo Al
1 2 1
direct
0.2491 0.2491 0.2699
0.7533 0.7533 0.7648
0.9953 0.9953 0.9781
0.5023 0.5023 0.4871
```

Summary:
**Total magnetic moment**: 0.00 μB/f.u.
**Calculated density**: 10.7 Mg/m³
**Crystal system**: monoclinic
**DFT total energy**: -7.129 eV per atom
**Formation enthalpy at 0 K**: 42.0 meV per atom

Entry from Alexandria via LeMat-Bulk: an optimized crystal structure of AlMo2Au (PBE).

Cell and atoms, written as POSCAR:
```
AlMo2Au
1.0
4.3914 0.0000 0.0000
0.0000 2.8198 -0.0069
0.0000 0.6173 5.2222
Au Al Mo
1 1 2
direct
0.5000 0.6123 0.7422
0.0000 0.6210 0.4912
0.0000 0.0374 0.0135
0.5000 0.2293 0.2532
```

Summary:
**Total magnetic moment**: 0.00 μB/f.u.
**Calculated density**: 10.7 Mg/m³
**Crystal system**: monoclinic
**DFT total energy**: -7.213 eV per atom
**Formation enthalpy at 0 K**: -42.4 meV per atom

Entry from Alexandria via LeMat-Bulk: an optimized crystal structure of AlMo2Au (PBE).

Cell and atoms, written as POSCAR:
```
AlMo2Au
1.0
-1.8521 2.5515 1.4955
-3.4307 -1.6922 -1.3616
-0.2991 -2.4261 3.7688
Al Mo Au
1 2 1
direct
0.5000 0.0000 0.5000
0.0000 0.0000 0.0000
0.5000 0.5000 0.0000
0.0000 0.5000 0.5000
```

Summary:
**Total magnetic moment**: 0.00 μB/f.u.
**Calculated density**: 10.8 Mg/m³
**Crystal system**: orthorhombic
**DFT total energy**: -7.213 eV per atom
**Formation enthalpy at 0 K**: -42.4 meV per atom

Copy entry 2 word for word.
Entry from Alexandria via LeMat-Bulk: an optimized crystal structure of AlMo2Au (PBE).

Cell and atoms, written as POSCAR:
```
AlMo2Au
1.0
4.3914 0.0000 0.0000
0.0000 2.8198 -0.0069
0.0000 0.6173 5.2222
Au Al Mo
1 1 2
direct
0.5000 0.6123 0.7422
0.0000 0.6210 0.4912
0.0000 0.0374 0.0135
0.5000 0.2293 0.2532
```

Summary:
**Total magnetic moment**: 0.00 μB/f.u.
**Calculated density**: 10.7 Mg/m³
**Crystal system**: monoclinic
**DFT total energy**: -7.213 eV per atom
**Formation enthalpy at 0 K**: -42.4 meV per atom